This record from Alexandria via LeMat-Bulk describes a relaxed Zn5Ga2Ag6 crystal. The functional is GGA-PBE.

formation energy = 0.01 eV/atom
space group = Pbam

Lattice parameters (Å, degrees): 8.748 16.734 3.010 90.00 90.00 90.00
Sites, in units of the cell vectors:
Zn 0.000 0.000 0.000
Zn 0.092 0.261 0.000
Zn 0.191 0.521 0.000
Zn 0.309 0.021 0.000
Zn 0.408 0.761 0.000
Zn 0.500 0.500 0.000
Zn 0.592 0.239 0.000
Zn 0.691 0.979 0.000
Zn 0.809 0.479 0.000
Zn 0.908 0.739 0.000
Ga 0.155 0.725 0.500
Ga 0.345 0.225 0.500
Ga 0.655 0.775 0.500
Ga 0.845 0.275 0.500
Ag 0.040 0.407 0.500
Ag 0.120 0.119 0.500
Ag 0.172 0.868 0.000
Ag 0.328 0.368 0.000
Ag 0.380 0.619 0.500
Ag 0.460 0.907 0.500
Ag 0.540 0.093 0.500
Ag 0.620 0.381 0.500
Ag 0.672 0.632 0.000
Ag 0.828 0.132 0.000
Ag 0.880 0.881 0.500
Ag 0.960 0.593 0.500


This record from Alexandria via LeMat-Bulk describes a relaxed TcSnOF2 crystal. The functional is GGA-PBE.

polymorph energy (0 for the lowest one) = 0.493 eV per atom
space group = P4/mmm
formation energy from raw total energies = -0.59 eV/atom

Lattice parameters (Å, degrees): 4.504 4.504 4.164 90.00 90.00 90.00
Sites, in units of the cell vectors:
Tc 0.000 0.000 0.000
Sn 0.500 0.500 0.500
O 0.500 0.500 0.000
F 0.000 0.500 0.500
F 0.500 0.000 0.500


This record from Alexandria via LeMat-Bulk describes a relaxed ScCo2Te crystal. The functional is GGA-PBE.

polymorph energy (0 for the lowest one) = 0.000 eV per atom
space group = P4/mmm
formation energy from raw total energies = -0.22 eV/atom

Lattice parameters (Å, degrees): 4.131 4.131 3.589 90.00 90.00 90.00
Sites, in units of the cell vectors:
Sc 0.000 0.000 0.000
Co 0.000 0.500 0.500
Co 0.500 0.000 0.500
Te 0.500 0.500 0.000


This record from Alexandria via LeMat-Bulk describes a relaxed NaHS3 crystal. The functional is GGA-PBE.

polymorph energy (0 for the lowest one) = 0.000 eV per atom
space group = P2_1

Lattice parameters (Å, degrees): 4.866 8.941 5.117 90.00 112.02 90.00
Sites, in units of the cell vectors:
Na 0.210 0.000 0.194
Na 0.790 0.500 0.806
H 0.124 0.336 0.395
H 0.876 0.836 0.605
S 0.065 0.729 0.537
S 0.358 0.466 0.251
S 0.454 0.785 0.873
S 0.546 0.285 0.127
S 0.642 0.966 0.749
S 0.935 0.229 0.463


This record from Alexandria via LeMat-Bulk describes a relaxed Tb9Pm2Ho crystal. The functional is GGA-PBE.

formation energy = 0.06 eV/atom
polymorph energy (0 for the lowest one) = 0.041 eV per atom
space group = P6/mmm

Lattice parameters (Å, degrees): 11.293 11.293 3.497 90.00 90.00 120.00
Sites, in units of the cell vectors:
Tb 0.000 0.500 0.000
Tb 0.173 0.347 0.500
Tb 0.173 0.827 0.500
Tb 0.347 0.173 0.500
Tb 0.500 0.000 0.000
Tb 0.500 0.500 0.000
Tb 0.653 0.827 0.500
Tb 0.827 0.173 0.500
Tb 0.827 0.653 0.500
Pm 0.333 0.667 0.000
Pm 0.667 0.333 0.000
Ho 0.000 0.000 0.000


This record from Alexandria via LeMat-Bulk describes a relaxed PaNi4As crystal. The functional is GGA-PBE.

formation energy = -0.35 eV/atom
polymorph energy (0 for the lowest one) = 0.026 eV per atom
space group = F-43m

Lattice parameters (Å, degrees): 4.934 4.934 4.934 60.00 60.00 60.00
Sites, in units of the cell vectors:
Pa 0.000 0.000 0.000
Ni 0.126 0.625 0.625
Ni 0.625 0.126 0.625
Ni 0.625 0.625 0.126
Ni 0.625 0.625 0.625
As 0.250 0.250 0.250


This record from Alexandria via LeMat-Bulk describes a relaxed InAsC3 crystal. The functional is GGA-PBE.

formation energy = 3.23 eV/atom
polymorph energy (0 for the lowest one) = 0.771 eV per atom
space group = Pm-3m

Lattice parameters (Å, degrees): 4.337 4.337 4.337 90.00 90.00 90.00
Sites, in units of the cell vectors:
In 0.000 0.000 0.000
As 0.500 0.500 0.500
C 0.000 0.000 0.500
C 0.000 0.500 0.000
C 0.500 0.000 0.000


This record from Alexandria via LeMat-Bulk describes a relaxed NdPaAl2 crystal. The functional is GGA-PBE.

formation energy = 0.01 eV/atom
polymorph energy (0 for the lowest one) = 0.212 eV per atom
space group = R-3m

Lattice parameters (Å, degrees): 10.787 10.787 10.787 17.13 17.13 17.13
Sites, in units of the cell vectors:
Nd 0.000 0.000 0.000
Pa 0.500 0.500 0.500
Al 0.248 0.248 0.248
Al 0.752 0.752 0.752